(1)
The following is a PBE-GGA calculation of an optimized crystal structure of CeTiBi2, from Alexandria.

energy relative to the elements = -63 kJ/mol of formula units
DFT total energy = -5.561 eV per atom
crystal system = tetragonal
distance to the lowest polymorph of the same formula = 0.080 eV per atom

Cell and atoms, written as CIF:
```
data_CeTiBi2
_chemical_formula_sum 'Ce2 Ti2 Bi4'
_symmetry_space_group_name_H-M 'I -4 m 2'
_symmetry_Int_Tables_number 119
_symmetry_space_group_name_Hall 'I -4 -2'
_cell_length_a 4.185
_cell_length_b 4.185
_cell_length_c 14.013
_cell_angle_alpha 90.00
_cell_angle_beta 90.00
_cell_angle_gamma 90.00
loop_
_atom_site_label
_atom_site_fract_x
_atom_site_fract_y
_atom_site_fract_z
Ce1 0.000 0.000 0.000
Ti1 0.000 0.500 0.750
Bi1 0.000 0.000 0.377
```

---

(2)
The following is a PBE-GGA calculation of an optimized crystal structure of CeTiBi2, from Alexandria.

energy relative to the elements = -94 kJ/mol of formula units
DFT total energy = -5.642 eV per atom
crystal system = tetragonal
distance to the lowest polymorph of the same formula = 0.000 eV per atom

Cell and atoms, written as CIF:
```
data_CeTiBi2
_chemical_formula_sum 'Ce1 Ti1 Bi2'
_symmetry_space_group_name_H-M 'P 4/m m m'
_symmetry_Int_Tables_number 123
_symmetry_space_group_name_Hall '-P 4 2'
_cell_length_a 3.667
_cell_length_b 3.667
_cell_length_c 7.845
_cell_angle_alpha 90.00
_cell_angle_beta 90.00
_cell_angle_gamma 90.00
loop_
_atom_site_label
_atom_site_fract_x
_atom_site_fract_y
_atom_site_fract_z
Ce1 0.000 0.000 0.000
Ti1 0.000 0.000 0.500
Bi1 0.500 0.500 0.283
```

---

(3)
The following is a PBE-GGA calculation of an optimized crystal structure of Ce6TiBi10, from Alexandria.

energy relative to the elements = -1031 kJ/mol of formula units
DFT total energy = -5.470 eV per atom
crystal system = trigonal

Cell and atoms, written as CIF:
```
data_Ce6TiBi10
_chemical_formula_sum 'Ce6 Ti1 Bi10'
_symmetry_space_group_name_H-M 'P -3 1 m'
_symmetry_Int_Tables_number 162
_symmetry_space_group_name_Hall '-P 3 2'
_cell_length_a 9.5060
_cell_length_b 9.5060
_cell_length_c 6.4652
_cell_angle_alpha 90.00
_cell_angle_beta 90.00
_cell_angle_gamma 120.00
loop_
_atom_site_label
_atom_site_fract_x
_atom_site_fract_y
_atom_site_fract_z
Ce1 0.0000 0.3847 0.2507
Ti1 0.0000 0.0000 0.5000
Bi1 0.0000 0.2500 0.7577
Bi2 0.3333 0.6667 0.0000
Bi3 0.3333 0.6667 0.5000
```

---

(4)
The following is a PBE-GGA calculation of an optimized crystal structure of Ce3TlBi3, from Alexandria.

energy relative to the elements = -268 kJ/mol of formula units
DFT total energy = -4.941 eV per atom
crystal system = hexagonal

Cell and atoms, written as CIF:
```
data_Ce3TlBi3
_chemical_formula_sum 'Ce6 Tl2 Bi6'
_symmetry_space_group_name_H-M 'P 63/m'
_symmetry_Int_Tables_number 176
_symmetry_space_group_name_Hall '-P 6c'
_cell_length_a 9.4706
_cell_length_b 9.4706
_cell_length_c 6.1816
_cell_angle_alpha 90.00
_cell_angle_beta 90.00
_cell_angle_gamma 120.00
loop_
_atom_site_label
_atom_site_fract_x
_atom_site_fract_y
_atom_site_fract_z
Ce1 0.0691 0.4084 0.2500
Tl1 0.3333 0.6667 0.7500
Bi1 0.0404 0.2963 0.7500
```

---

(5)
The following is a PBE-GGA calculation of an optimized crystal structure of Ce7TlBi3, from Alexandria.

energy relative to the elements = -366 kJ/mol of formula units
DFT total energy = -5.395 eV per atom
crystal system = orthorhombic

Cell and atoms, written as CIF:
```
data_Ce7TlBi3
_chemical_formula_sum 'Ce14 Tl2 Bi6'
_symmetry_space_group_name_H-M 'I m m m'
_symmetry_Int_Tables_number 71
_symmetry_space_group_name_Hall '-I 2 2'
_cell_length_a 6.161
_cell_length_b 9.232
_cell_length_c 12.367
_cell_angle_alpha 90.00
_cell_angle_beta 90.00
_cell_angle_gamma 90.00
loop_
_atom_site_label
_atom_site_fract_x
_atom_site_fract_y
_atom_site_fract_z
Ce1 0.000 0.000 0.000
Ce2 0.000 0.148 0.500
Ce3 0.000 0.358 0.245
Tl1 0.000 0.500 0.500
Bi1 0.000 0.000 0.259
Bi2 0.000 0.500 0.000
```

---

(6)
The following is a PBE-GGA calculation of an optimized crystal structure of Ce7Tl2Bi2, from Alexandria.

energy relative to the elements = -71 kJ/mol of formula units
DFT total energy = -4.979 eV per atom
crystal system = orthorhombic

Cell and atoms, written as CIF:
```
data_Ce7Tl2Bi2
_chemical_formula_sum 'Ce14 Tl4 Bi4'
_symmetry_space_group_name_H-M 'C m m m'
_symmetry_Int_Tables_number 65
_symmetry_space_group_name_Hall '-C 2 2'
_cell_length_a 9.595
_cell_length_b 11.535
_cell_length_c 6.769
_cell_angle_alpha 90.00
_cell_angle_beta 90.00
_cell_angle_gamma 90.00
loop_
_atom_site_label
_atom_site_fract_x
_atom_site_fract_y
_atom_site_fract_z
Ce1 0.000 0.000 0.000
Ce2 0.000 0.500 0.301
Ce3 0.250 0.250 0.303
Tl1 0.000 0.279 0.000
Bi1 0.174 0.000 0.500
```

---

(7)
The following is a PBE-GGA calculation of an optimized crystal structure of Ce7Tl3Bi, from Alexandria.

energy relative to the elements = -115 kJ/mol of formula units
DFT total energy = -4.882 eV per atom
crystal system = monoclinic

Cell and atoms, written as CIF:
```
data_Ce7Tl3Bi
_chemical_formula_sum 'Ce14 Tl6 Bi2'
_symmetry_space_group_name_H-M 'C 1 2/m 1'
_symmetry_Int_Tables_number 12
_cell_length_a 11.376
_cell_length_b 11.241
_cell_length_c 5.913
_cell_angle_alpha 90.00
_cell_angle_beta 115.96
_cell_angle_gamma 90.00
loop_
_symmetry_equiv_pos_as_xyz
'x,y,z'
'-x,-y,-z'
'-x,y,-z'
'x,-y,z'
'x+1/2,y+1/2,z'
'-x+1/2,-y+1/2,-z'
'-x+1/2,y+1/2,-z'
'x+1/2,-y+1/2,z'
loop_
_atom_site_label
_atom_site_fract_x
_atom_site_fract_y
_atom_site_fract_z
Ce1 0.000 0.000 0.000
Ce2 0.183 0.254 0.645
Ce3 0.193 0.500 0.190
Tl1 0.000 0.276 0.000
Tl2 0.000 0.500 0.500
Bi1 0.000 0.000 0.500
```

---

(8)
The following is a PBE-GGA calculation of an optimized crystal structure of Ce4TlBi5, from Alexandria.

energy relative to the elements = -395 kJ/mol of formula units
DFT total energy = -4.960 eV per atom
crystal system = monoclinic
distance to the lowest polymorph of the same formula = 0.167 eV per atom

Cell and atoms, written as CIF:
```
data_Ce4TlBi5
_chemical_formula_sum 'Ce8 Tl2 Bi10'
_symmetry_space_group_name_H-M 'C 1 2/m 1'
_symmetry_Int_Tables_number 12
_cell_length_a 17.825
_cell_length_b 4.950
_cell_length_c 8.994
_cell_angle_alpha 90.00
_cell_angle_beta 120.10
_cell_angle_gamma 90.00
loop_
_symmetry_equiv_pos_as_xyz
'x,y,z'
'-x,-y,-z'
'-x,y,-z'
'x,-y,z'
'x+1/2,y+1/2,z'
'-x+1/2,-y+1/2,-z'
'-x+1/2,y+1/2,-z'
'x+1/2,-y+1/2,z'
loop_
_atom_site_label
_atom_site_fract_x
_atom_site_fract_y
_atom_site_fract_z
Ce1 0.018 0.000 0.258
Ce2 0.166 0.500 0.921
Tl1 0.000 0.500 0.500
Bi1 0.000 0.500 0.000
Bi2 0.158 0.000 0.663
Bi3 0.175 0.000 0.180
```

---

(9)
The following is a PBE-GGA calculation of an optimized crystal structure of Ce4Tl5Bi, from Alexandria.

energy relative to the elements = -266 kJ/mol of formula units
DFT total energy = -4.221 eV per atom
crystal system = monoclinic

Cell and atoms, written as CIF:
```
data_Ce4Tl5Bi
_chemical_formula_sum 'Ce8 Tl10 Bi2'
_symmetry_space_group_name_H-M 'C 1 2/m 1'
_symmetry_Int_Tables_number 12
_cell_length_a 16.341
_cell_length_b 5.489
_cell_length_c 6.799
_cell_angle_alpha 90.00
_cell_angle_beta 102.51
_cell_angle_gamma 90.00
loop_
_symmetry_equiv_pos_as_xyz
'x,y,z'
'-x,-y,-z'
'-x,y,-z'
'x,-y,z'
'x+1/2,y+1/2,z'
'-x+1/2,-y+1/2,-z'
'-x+1/2,y+1/2,-z'
'x+1/2,-y+1/2,z'
loop_
_atom_site_label
_atom_site_fract_x
_atom_site_fract_y
_atom_site_fract_z
Ce1 0.078 0.000 0.338
Ce2 0.188 0.500 0.782
Tl1 0.000 0.500 0.000
Tl2 0.118 0.000 0.903
Tl3 0.208 0.500 0.305
Bi1 0.000 0.500 0.500
```

---

(10)
The following is a PBE-GGA calculation of an optimized crystal structure of Ce2Tl2Bi3, from Alexandria.

energy relative to the elements = -250 kJ/mol of formula units
DFT total energy = -4.405 eV per atom
crystal system = triclinic

Cell and atoms, written as CIF:
```
data_Ce2Tl2Bi3
_chemical_formula_sum 'Ce2 Tl2 Bi3'
_symmetry_space_group_name_H-M 'P -1'
_symmetry_Int_Tables_number 2
_cell_length_a 4.876
_cell_length_b 5.799
_cell_length_c 8.932
_cell_angle_alpha 99.07
_cell_angle_beta 102.68
_cell_angle_gamma 111.84
loop_
_symmetry_equiv_pos_as_xyz
'x,y,z'
'-x,-y,-z'
loop_
_atom_site_label
_atom_site_fract_x
_atom_site_fract_y
_atom_site_fract_z
Ce1 0.047 0.246 0.338
Tl1 0.209 0.822 0.070
Bi1 0.335 0.406 0.754
Bi2 0.500 0.000 0.500
```

---

(11)
The following is a PBE-GGA calculation of an optimized crystal structure of Ce3TlBi4, from Alexandria.

energy relative to the elements = -380 kJ/mol of formula units
DFT total energy = -4.954 eV per atom
crystal system = cubic

Cell and atoms, written as CIF:
```
data_Ce3TlBi4
_chemical_formula_sum 'Ce3 Tl1 Bi4'
_symmetry_space_group_name_H-M 'P m -3 m'
_symmetry_Int_Tables_number 221
_symmetry_space_group_name_Hall '-P 4 2 3'
_cell_length_a 6.535
_cell_length_b 6.535
_cell_length_c 6.535
_cell_angle_alpha 90.00
_cell_angle_beta 90.00
_cell_angle_gamma 90.00
loop_
_atom_site_label
_atom_site_fract_x
_atom_site_fract_y
_atom_site_fract_z
Ce1 0.000 0.000 0.500
Tl1 0.500 0.500 0.500
Bi1 0.000 0.000 0.000
Bi2 0.000 0.500 0.500
```

---

(12)
The following is a PBE-GGA calculation of an optimized crystal structure of Ce3TlBi2, from Alexandria.

energy relative to the elements = -289 kJ/mol of formula units
DFT total energy = -5.154 eV per atom
crystal system = monoclinic

Cell and atoms, written as CIF:
```
data_Ce3TlBi2
_chemical_formula_sum 'Ce12 Tl4 Bi8'
_symmetry_space_group_name_H-M 'C 1 2/c 1'
_symmetry_Int_Tables_number 15
_cell_length_a 8.036
_cell_length_b 13.719
_cell_length_c 7.821
_cell_angle_alpha 90.00
_cell_angle_beta 109.46
_cell_angle_gamma 90.00
loop_
_symmetry_equiv_pos_as_xyz
'x,y,z'
'-x,-y,-z'
'-x,y,-z+1/2'
'x,-y,z+1/2'
'x+1/2,y+1/2,z'
'-x+1/2,-y+1/2,-z'
'-x+1/2,y+1/2,-z+1/2'
'x+1/2,-y+1/2,z+1/2'
loop_
_atom_site_label
_atom_site_fract_x
_atom_site_fract_y
_atom_site_fract_z
Ce1 0.249 0.084 0.002
Ce2 0.250 0.250 0.500
Tl1 0.000 0.417 0.250
Bi1 0.000 0.083 0.250
Bi2 0.000 0.249 0.750
```

---

In states/eV/cell, the density of states at the Fermi level values for the records above are, in order, 14.28; 8.16; 29.50; 41.44; 63.00; 66.01; 74.72; 52.27; 57.26; 14.15; 22.14; 77.39.
In A^3/atom, the calculated volume values for the records above are, in order, 30.67; 26.38; 29.76; 34.30; 31.97; 34.05; 30.90; 34.33; 29.77; 31.51; 34.89; 33.88.